(1)
Entry from Alexandria: a relaxed structure of FeSb2Pt (PBE).

Calculated values
volume: 19.635 Å³ per atom
distance to the lowest polymorph of the same formula: 368 meV/atom
Fermi-level density of states: 3.241 states/eV/cell
energy relative to the elements, uncorrected: 0.19 eV per atom
E: -0.4043 Ry per atom

a b c (Å): 5.9926 5.9926 5.9926
angles (deg): 150.77 131.17 57.93
Last column: nearest neighbours and their distance in Å.
Element x y z (fractional)
Fe1 0.4836 0.4836 0.0000  2 Pt 2.70, 6 Sb 2.92-2.93
Pt1 0.2703 0.7703 0.5000  2 Fe 2.70, 6 Sb 2.95-2.99
Sb1 0.0241 0.0241 0.0000  4 Fe 2.93, 2 Pt 2.99, 4 Sb 3.02-3.23
Sb2 0.7220 0.2220 0.5000  2 Fe 2.92, 4 Pt 2.95, 4 Sb 3.02-3.23

(2)
Entry from Alexandria: a relaxed structure of FeSbPt2 (PBE).

Calculated values
volume: 16.601 Å³ per atom
Fermi-level density of states: 3.513 states/eV/cell
energy relative to the elements, uncorrected: -0.10 eV per atom
E: -0.4605 Ry per atom

a b c (Å): 4.0647 4.1781 3.9102
angles (deg): 90.00 90.00 90.00
Last column: nearest neighbours and their distance in Å.
Element x y z (fractional)
Fe1 0.5000 0.6373 0.8749  6 Pt 2.70-3.01, 4 Sb 2.82
Pt1 0.0000 0.0620 0.8751  2 Fe 2.70, 2 Sb 2.71, 4 Pt 2.87
Pt2 0.5000 0.1863 0.3751  2 Sb 2.71, 4 Fe 2.71-3.01, 4 Pt 2.87
Sb1 0.0000 0.6144 0.3749  6 Pt 2.71-3.03, 4 Fe 2.82

(3)
Entry from Alexandria: a relaxed structure of FeSbPt2 (PBE).

Calculated values
volume: 17.043 Å³ per atom
Fermi-level density of states: 3.848 states/eV/cell
energy relative to the elements, uncorrected: -0.07 eV per atom
E: -0.4587 Ry per atom

a b c (Å): 4.7333 4.7333 4.4735
angles (deg): 76.31 76.31 44.72
Last column: nearest neighbours and their distance in Å.
Element x y z (fractional)
Fe1 0.2639 0.2639 0.1945  5 Pt 2.59-2.75, 1 Sb 2.76
Pt1 0.9972 0.9972 0.0434  3 Fe 2.59-2.68, 2 Sb 2.79, 3 Pt 2.85-2.89
Pt2 0.7475 0.7475 0.7397  3 Sb 2.66-2.77, 2 Fe 2.75, 3 Pt 2.85-2.89
Sb1 0.4914 0.4914 0.5224  7 Pt 2.66-2.96, 1 Fe 2.76

(4)
Entry from Alexandria: a relaxed structure of Fe3SbPt (PBE).

Calculated values
volume: 20.832 Å³ per atom
distance to the lowest polymorph of the same formula: 0 meV/atom
Fermi-level density of states: 6.487 states/eV/cell
energy relative to the elements, uncorrected: 0.89 eV per atom
E: -0.4569 Ry per atom

a b c (Å): 4.7051 4.7051 4.7051
angles (deg): 90.00 90.00 90.00
Last column: nearest neighbours and their distance in Å.
Element x y z (fractional)
Sb1 0.5000 0.5000 0.5000  12 Fe 3.33
Fe1 0.0000 0.5000 0.0000  2 Pt 2.35
Fe2 0.0000 0.0000 0.5000  2 Pt 2.35
Fe3 0.5000 0.0000 0.0000  2 Pt 2.35
Pt1 0.0000 0.0000 0.0000  6 Fe 2.35

(5)
Entry from Alexandria: a relaxed structure of FeSbPt2 (PBE).

Calculated values
volume: 16.871 Å³ per atom
Fermi-level density of states: 3.424 states/eV/cell
energy relative to the elements, uncorrected: 0.17 eV per atom
E: -0.4406 Ry per atom

a b c (Å): 8.7329 8.7329 8.7329
angles (deg): 19.90 19.90 19.90
Last column: nearest neighbours and their distance in Å.
Element x y z (fractional)
Fe1 0.7473 0.7473 0.7473  3 Pt 2.60, 3 Sb 2.76
Pt1 0.0056 0.0056 0.0056  3 Fe 2.60, 3 Pt 2.88
Pt2 0.2495 0.2495 0.2495  3 Sb 2.80, 9 Pt 2.88-3.02
Sb1 0.4976 0.4976 0.4976  3 Fe 2.76, 3 Pt 2.80, 6 Sb 3.02

(6)
Entry from Alexandria: a relaxed structure of FeSbPt3 (PBE).

Calculated values
volume: 20.081 Å³ per atom
distance to the lowest polymorph of the same formula: 0 meV/atom
Fermi-level density of states: 3.197 states/eV/cell
energy relative to the elements, uncorrected: 0.64 eV per atom
E: -0.4041 Ry per atom

a b c (Å): 4.6479 4.6479 4.6479
angles (deg): 90.00 90.00 90.00
Last column: nearest neighbours and their distance in Å.
Element x y z (fractional)
Sb1 0.5000 0.5000 0.5000  12 Pt 3.29
Fe1 0.0000 0.0000 0.0000  6 Pt 2.32
Pt1 0.0000 0.5000 0.0000  2 Fe 2.32
Pt2 0.0000 0.0000 0.5000  2 Fe 2.32
Pt3 0.5000 0.0000 0.0000  2 Fe 2.32

(7)
Entry from Alexandria: a relaxed structure of FeSb2Pt (PBE).

Calculated values
volume: 19.525 Å³ per atom
distance to the lowest polymorph of the same formula: 213 meV/atom
Fermi-level density of states: 2.475 states/eV/cell
energy relative to the elements, uncorrected: 0.03 eV per atom
E: -0.4158 Ry per atom

a b c (Å): 3.7769 3.7767 5.4751
angles (deg): 90.00 90.00 90.00
Last column: nearest neighbours and their distance in Å.
Element x y z (fractional)
Fe1 0.0000 0.0000 0.4422  6 Sb 2.68-2.79
Pt1 0.5000 0.5000 0.8071  6 Sb 2.67-2.80
Sb1 0.0000 0.0000 0.9319  2 Fe 2.68-2.79, 4 Pt 2.76
Sb2 0.5000 0.5000 0.3189  2 Pt 2.67-2.80, 4 Fe 2.75

(8)
Entry from Alexandria: a relaxed structure of FeSbPt2 (PBE).

Calculated values
volume: 17.025 Å³ per atom
Fermi-level density of states: 12.754 states/eV/cell
energy relative to the elements, uncorrected: 0.22 eV per atom
E: -0.4373 Ry per atom

a b c (Å): 3.8317 3.8317 9.6641
angles (deg): 78.57 78.57 90.00
Last column: nearest neighbours and their distance in Å.
Element x y z (fractional)
Sb1 0.0000 0.0000 0.0000  4 Pt 2.70, 4 Fe 2.71
Sb2 0.7500 0.2500 0.5000  4 Pt 2.70, 4 Fe 2.71
Fe1 0.5000 0.5000 0.0000  4 Pt 2.67, 4 Sb 2.71
Fe2 0.2500 0.7500 0.5000  4 Pt 2.67, 4 Sb 2.71
Pt1 0.6118 0.1250 0.2500  4 Pt 2.64-2.78, 2 Fe 2.67, 2 Sb 2.70
Pt2 0.1382 0.6250 0.2500  4 Pt 2.64-2.78, 2 Fe 2.67, 2 Sb 2.70
Pt3 0.3750 0.3882 0.7500  4 Pt 2.64-2.78, 2 Fe 2.67, 2 Sb 2.70
Pt4 0.8750 0.8618 0.7500  4 Pt 2.64-2.78, 2 Fe 2.67, 2 Sb 2.70

(9)
Entry from Alexandria: a relaxed structure of FeSb2Pt (PBE).

Calculated values
volume: 18.272 Å³ per atom
distance to the lowest polymorph of the same formula: 503 meV/atom
Fermi-level density of states: 9.197 states/eV/cell
energy relative to the elements, uncorrected: 0.32 eV per atom
E: -0.3944 Ry per atom

a b c (Å): 4.6930 4.6930 4.6930
angles (deg): 60.00 60.00 60.00
Last column: nearest neighbours and their distance in Å.
Element x y z (fractional)
Sb1 0.2500 0.2500 0.2500  4 Fe 2.87, 4 Pt 2.87
Sb2 0.7500 0.7500 0.7500  4 Fe 2.87, 4 Pt 2.87
Fe1 0.0000 0.0000 0.0000  8 Sb 2.87
Pt1 0.5000 0.5000 0.5000  8 Sb 2.87

(10)
Entry from Alexandria: a relaxed structure of FeSbPt2 (PBE).

Calculated values
volume: 16.480 Å³ per atom
Fermi-level density of states: 3.190 states/eV/cell
energy relative to the elements, uncorrected: -0.07 eV per atom
E: -0.4586 Ry per atom

a b c (Å): 4.9966 4.9966 4.9966
angles (deg): 134.48 131.02 69.09
Last column: nearest neighbours and their distance in Å.
Element x y z (fractional)
Fe1 0.2592 0.7592 0.5000  4 Sb 2.78-2.96, 8 Pt 2.84-2.90
Pt1 0.9967 0.9967 0.0000  4 Sb 2.83, 4 Fe 2.85-2.90, 4 Pt 2.85-2.89
Pt2 0.7422 0.2422 0.5000  4 Sb 2.77-2.98, 4 Fe 2.84, 4 Pt 2.85-2.89
Sb1 0.5019 0.5019 0.0000  8 Pt 2.77-2.98, 4 Fe 2.78-2.96

(11)
Entry from Alexandria: a relaxed structure of FeSb2Pt (PBE).

Calculated values
volume: 21.153 Å³ per atom
distance to the lowest polymorph of the same formula: 194 meV/atom
Fermi-level density of states: 4.922 states/eV/cell
energy relative to the elements, uncorrected: 0.01 eV per atom
E: -0.4172 Ry per atom

a b c (Å): 3.3911 3.3911 7.3578
angles (deg): 90.00 90.00 90.00
Last column: nearest neighbours and their distance in Å.
Element x y z (fractional)
Fe1 0.0000 0.0000 0.5334  4 Pt 2.75, 5 Sb 2.81
Pt1 0.5000 0.5000 0.7159  4 Fe 2.75, 5 Sb 2.80-2.81
Sb1 0.0000 0.0000 0.9155  1 Fe 2.81, 4 Pt 2.81
Sb2 0.5000 0.5000 0.3353  1 Pt 2.80, 4 Fe 2.81

(12)
Entry from Alexandria: a relaxed structure of FeSbPt2 (PBE).

Calculated values
volume: 18.128 Å³ per atom
Fermi-level density of states: 3.176 states/eV/cell
energy relative to the elements, uncorrected: -0.04 eV per atom
E: -0.4563 Ry per atom

a b c (Å): 5.6561 5.6561 5.6561
angles (deg): 41.74 41.74 41.74
Last column: nearest neighbours and their distance in Å.
Element x y z (fractional)
Fe1 0.7500 0.7500 0.7500  6 Pt 2.53
Pt1 0.0191 0.0191 0.0191  3 Fe 2.53, 3 Sb 2.81
Pt2 0.4809 0.4809 0.4809  3 Fe 2.53, 3 Sb 2.81
Sb1 0.2500 0.2500 0.2500  6 Pt 2.81

(13)
Entry from Alexandria: a relaxed structure of FeSb2Pt (PBE).

Calculated values
volume: 19.422 Å³ per atom
distance to the lowest polymorph of the same formula: 269 meV/atom
Fermi-level density of states: 3.074 states/eV/cell
energy relative to the elements, uncorrected: 0.09 eV per atom
E: -0.4116 Ry per atom

a b c (Å): 4.3775 4.3775 5.7461
angles (deg): 76.30 76.30 46.91
Last column: nearest neighbours and their distance in Å.
Element x y z (fractional)
Fe1 0.7500 0.7500 0.7500  6 Sb 2.71-2.73
Pt1 0.2500 0.2500 0.2500  6 Sb 2.80
Sb1 0.0020 0.0020 0.9867  3 Fe 2.71-2.73, 3 Pt 2.80
Sb2 0.4980 0.4980 0.5133  3 Fe 2.71-2.73, 3 Pt 2.80

(14)
Entry from Alexandria: a relaxed structure of FeSb2Pt (PBE).

Calculated values
volume: 18.925 Å³ per atom
distance to the lowest polymorph of the same formula: 313 meV/atom
Fermi-level density of states: 3.081 states/eV/cell
energy relative to the elements, uncorrected: 0.13 eV per atom
E: -0.4084 Ry per atom

a b c (Å): 4.6231 4.6231 3.5419
angles (deg): 89.98 89.98 89.97
Last column: nearest neighbours and their distance in Å.
Element x y z (fractional)
Fe1 0.5000 0.0000 0.5000  8 Sb 2.91
Pt1 0.0000 0.5000 0.5000  8 Sb 2.91
Sb1 0.0000 0.0000 0.0000  4 Pt 2.91, 4 Fe 2.91
Sb2 0.5000 0.5000 0.0000  4 Fe 2.91, 4 Pt 2.91